Density functional theory data (PBE) for crystalline La3HgS at its relaxed geometry.

Calculated values
The value obtained for the formation energy without anion corrections is -0.855 eV/atom. The relative energy among the computed polymorphs comes out at 0.000 eV/atom. The calculation puts the total magnetization at 0.0000 μB per atom.

Unit cell a=5.4904 b=5.4904 c=5.4904 alpha=90.00 beta=90.00 gamma=90.00
Closest atoms and distances in Å follow each position.
Atoms (fractional coordinates):
La (0.0000, 0.0000, 0.5000)  2 S 2.75
La (0.0000, 0.5000, 0.0000)  2 S 2.75
La (0.5000, 0.0000, 0.0000)  2 S 2.75
Hg (0.5000, 0.5000, 0.5000)  12 La 3.88
S (0.0000, 0.0000, 0.0000)  6 La 2.75

Density functional theory data (PBE) for crystalline SrCr2Tc2 at its relaxed geometry.

Calculated values
The calculation puts the formation energy at 41 kJ per mole of atoms. The relative energy among the computed polymorphs comes out at 0.000 eV/atom. The calculation puts the total magnetization at 0.0000 μB per atom.

Unit cell a=6.0337 b=6.0337 c=6.0337 alpha=139.49 beta=139.49 gamma=58.62
Closest atoms and distances in Å follow each position.
Atoms (fractional coordinates):
Sr (0.0000, 0.0000, 0.0000)  8 Tc 3.27, 8 Cr 3.36
Cr (0.2500, 0.7500, 0.5000)  4 Tc 2.42
Cr (0.7500, 0.2500, 0.5000)  4 Tc 2.42
Tc (0.3671, 0.3671, 0.0000)  4 Cr 2.42
Tc (0.6329, 0.6329, 0.0000)  4 Cr 2.42